[1]
Material: SmAlOs
Method: DFT, PBE
State: relaxed

Calculated values
Final energy ... -6.314 eV/atom
SG ... F-43m, No. 216
Calculated volume ... 64.6 Å³ per cell

a b c (Å): 4.5036 4.5036 4.5036
angles (deg): 60.00 60.00 60.00
Element x y z (fractional)
Al 0.0000 0.0000 0.0000
Sm 0.7500 0.7500 0.7500
Os 0.2500 0.2500 0.2500

[2]
Material: AlSnOs
Method: DFT, PBE
State: relaxed

Calculated values
Final energy ... -6.295 eV/atom
SG ... F-43m, No. 216
Calculated volume ... 58.5 Å³ per cell

a b c (Å): 4.3580 4.3580 4.3580
angles (deg): 60.00 60.00 60.00
Element x y z (fractional)
Os 0.0000 0.0000 0.0000
Al 0.2500 0.2500 0.2500
Sn 0.7500 0.7500 0.7500

[3]
Material: Ta2AlOs
Method: DFT, PBE
State: relaxed

Calculated values
Final energy ... -9.782 eV/atom
SG ... F-43m, No. 216
Calculated volume ... 64.9 Å³ per cell

a b c (Å): 4.5115 4.5115 4.5115
angles (deg): 60.00 60.00 60.00
Element x y z (fractional)
Ta 0.0000 0.0000 0.0000
Ta 0.7500 0.7500 0.7500
Al 0.5000 0.5000 0.5000
Os 0.2500 0.2500 0.2500

[4]
Material: TbAl2Os2
Method: DFT, PBE
State: relaxed

Calculated values
Final energy ... -7.128 eV/atom
SG ... I4/mmm, No. 139
Calculated volume ... 91.0 Å³ per cell

a b c (Å): 6.0911 6.0911 6.0911
angles (deg): 140.40 140.40 57.24
Each line ends with the local moment (μB).
Element x y z (fractional)
Al 0.3797 0.3797 0.0000  0.00
Al 0.6203 0.6203 0.0000  0.00
Os 0.7500 0.2500 0.5000  0.08
Os 0.2500 0.7500 0.5000  0.08
Tb 0.0000 0.0000 0.0000  0.00

[5]
Material: Al4TcOs
Method: DFT, PBE
State: relaxed

Calculated values
Final energy ... -6.577 eV/atom
SG ... P4/mmm, No. 123
Calculated volume ... 85.8 Å³ per cell

a b c (Å): 3.1864 3.1864 8.4507
angles (deg): 90.00 90.00 90.00
Each line ends with the local moment (μB).
Element x y z (fractional)
Al 0.0000 0.0000 0.6593  0.00
Al 0.0000 0.0000 0.3407  0.00
Al 0.5000 0.5000 0.8399  0.01
Al 0.5000 0.5000 0.1601  0.01
Tc 0.5000 0.5000 0.5000  0.29
Os 0.0000 0.0000 0.0000  0.01

[6]
Material: AlTlOs
Method: DFT, PBE
State: relaxed

Calculated values
Final energy ... -5.105 eV/atom
SG ... F-43m, No. 216
Calculated volume ... 57.3 Å³ per cell

a b c (Å): 4.3283 4.3283 4.3283
angles (deg): 60.00 60.00 60.00
Element x y z (fractional)
Tl 0.7500 0.7500 0.7500
Os 0.2500 0.2500 0.2500
Al 0.0000 0.0000 0.0000

[7]
Material: UAlOs
Method: DFT, PBE
State: relaxed

Calculated values
Final energy ... -7.891 eV/atom
SG ... F-43m, No. 216
Calculated volume ... 65.8 Å³ per cell

a b c (Å): 4.5315 4.5315 4.5315
angles (deg): 60.00 60.00 60.00
Element x y z (fractional)
U 0.0000 0.0000 0.0000
Al 0.2500 0.2500 0.2500
Os 0.7500 0.7500 0.7500

[8]
Material: UAlOs
Method: DFT, PBE
State: relaxed

Calculated values
Final energy ... -8.990 eV/atom
SG ... Pnma, No. 62
Calculated volume ... 219.5 Å³ per cell

a b c (Å): 7.4655 4.4860 6.5533
angles (deg): 90.00 90.00 90.00
Each line ends with the local moment (μB).
Element x y z (fractional)
Al 0.3035 0.7500 0.1208  -0.01
Al 0.8035 0.7500 0.3792  -0.01
Al 0.1965 0.2500 0.6208  -0.01
Al 0.6965 0.2500 0.8792  -0.01
Os 0.3621 0.2500 0.9512  -0.18
Os 0.1379 0.7500 0.4512  -0.17
Os 0.6379 0.7500 0.0488  -0.18
Os 0.8621 0.2500 0.5488  -0.17
U 0.5239 0.2500 0.3381  1.30
U 0.4761 0.7500 0.6619  1.30
U 0.9761 0.7500 0.8381  1.35
U 0.0239 0.2500 0.1619  1.35